Below is YTiC3 at its PBEsol-relaxed geometry, with properties calculated at the meta-GGA SCAN level.

Results
Its final energy is -14.18 eV/atom. Its formation energy is 0.653 eV/atom. The volume comes out at 12.65 A^3/atom.

abc: 3.9841 3.9841 3.9841
angles: 90.00 90.00 90.00
Space group Pm-3m (No. 221)
One atom of each set of equivalent atoms:
Y 0.0000 0.0000 0.0000
Ti 0.5000 0.5000 0.5000
C 0.0000 0.5000 0.5000